Here is a relaxed structure of Mn2GeMoO from the Alexandria database. Energies are from PBE with a Hubbard U.

Lattice parameters (Å, degrees): 5.2465 4.9010 5.2465 90.00 90.00 90.00
Last column: nearest neighbours and their distance in Å.
Fractional positions:
Mn: 0.5000 0.0000 0.0000  2 Mo 2.62
Mn: 0.0000 0.0000 0.5000  2 Mo 2.62
Mo: 0.0000 0.0000 0.0000  2 Ge 2.45, 4 Mn 2.62
O: 0.5000 0.5000 0.5000  8 Mn 3.59, 4 Ge 3.71
Ge: 0.0000 0.5000 0.0000  2 Mo 2.45

M_tot	5.59	Bohr magnetons per cell
VASP energy	-4.899	eV per atom
symmetry	P4/mmm (123)